This record from Alexandria describes a relaxed GaCo2AuN crystal. The functional is PBE.

Results
mass density	10.46	g cm⁻³
crystal system	tetragonal
DOS at the Fermi energy	6.528	states/eV/f.u.
energy relative to the elements, uncorrected	0.134	eV per atom
electronic total energy	-5.63	eV/atom
spin magnetization	2.06	μB per formula unit

Lattice parameters (Å, degrees): 3.7343 3.7343 4.5356 90.00 90.00 90.00
Space group P4/mmm (No. 123)
Asymmetric unit:
Ga: 0.0000 0.0000 0.0000
Co: 0.0000 0.5000 0.5000
Au: 0.5000 0.5000 0.0000
N: 0.0000 0.0000 0.5000